No. 1
Here is crystalline K2Tl2RhO6 at its relaxed geometry from Alexandria. Energies are from PBE-GGA.

Output
As for the raw formation energy: -1042 kJ/mol of formula units. The calculation puts the density of states at the Fermi level at 3.4 states/eV per cell. Its space group is C2/m (12).

a = 5.8072 Å, b = 5.8072 Å, c = 6.5117 Å
α = 98.82°, β = 98.82°, γ = 118.75°
Last column: magnetic moment on the atom in μB.
Fractional positions:
O1 0.0560 0.3501 0.6778  0.06
O2 0.6499 0.9440 0.3222  0.06
O3 0.2279 0.2279 0.3226  0.04
O4 0.3501 0.0560 0.6778  0.06
O5 0.7721 0.7721 0.6774  0.04
O6 0.9440 0.6499 0.3222  0.06
Tl1 0.3358 0.6642 0.5000  0.00
Tl2 0.6642 0.3358 0.5000  0.00
K1 0.1690 0.8310 0.0000  0.00
K2 0.8310 0.1690 0.0000  0.00
Rh1 0.0000 0.0000 0.5000  0.65

No. 2
Here is crystalline Sr2NdAgS4 at its relaxed geometry from Alexandria. Energies are from PBE-GGA.

Output
As for the raw formation energy: -1280 kJ/mol of formula units. Its space group is P2/m (10).

a = 4.1923 Å, b = 7.1863 Å, c = 7.2110 Å
α = 110.09°, β = 90.00°, γ = 90.00°
Fractional positions:
Sr1 0.5000 0.0000 0.5000
Sr2 0.0000 0.5000 0.5000
Ag1 0.0000 0.0000 0.0000
S1 0.0000 0.7373 0.2404
S2 0.5000 0.2501 0.2350
S3 0.5000 0.7499 0.7650
S4 0.0000 0.2627 0.7596
Nd1 0.5000 0.5000 0.0000

No. 3
Here is crystalline PmH4Rh at its relaxed geometry from Alexandria. Energies are from PBE-GGA.

Output
The energy above the most stable polymorph in this dataset comes out at 0.1435 eV/atom. The calculation puts the density of states at the Fermi level at 1.8 states/eV per cell. Its space group is C2/c (15).

a = 5.3918 Å, b = 8.6567 Å, c = 4.6421 Å
α = 122.77°, β = 87.29°, γ = 132.35°
Fractional positions:
H1 0.0001 0.8365 0.3769
H2 0.7548 0.8083 0.9123
H3 0.2452 0.1917 0.0877
H4 0.6575 0.1041 0.9123
H5 0.8769 0.5404 0.3769
H6 0.3425 0.8959 0.0877
H7 0.1231 0.4596 0.6231
H8 0.9999 0.1635 0.6231
Pm1 0.4193 0.6693 0.3387
Pm2 0.5807 0.3307 0.6613
Rh1 0.1335 0.8835 0.7669
Rh2 0.8665 0.1165 0.2331

No. 4
Here is crystalline NaAlAg2 at its relaxed geometry from Alexandria. Energies are from PBE-GGA.

Output
The calculation puts the density of states at the Fermi level at 1.1 states/eV per cell. Its space group is R3m (160). As for the energy of formation: 1 meV per atom.

a = 3.0144 Å, b = 3.0144 Å, c = 9.6838 Å
α = 81.05°, β = 81.05°, γ = 60.00°
Fractional positions:
Ag1 0.2417 0.2417 0.2749
Ag2 0.0916 0.0916 0.7251
Al1 0.5000 0.5000 0.5000
Na1 0.6666 0.6666 0.0001

No. 5
Here is crystalline SrNi3Os at its relaxed geometry from Alexandria. Energies are from PBE-GGA.

Output
The energy above the most stable polymorph in this dataset comes out at 0.0000 eV/atom. The calculation puts the density of states at the Fermi level at 6.3 states/eV per cell. Its space group is Pm-3m (221). As for the energy of formation: 595 meV per atom.

a = 4.6254 Å, b = 4.6254 Å, c = 4.6254 Å
α = 90.00°, β = 90.00°, γ = 90.00°
Fractional positions:
Ni1 0.0000 0.0000 0.5000
Ni2 0.5000 0.0000 0.0000
Ni3 0.0000 0.5000 0.0000
Os1 0.0000 0.0000 0.0000
Sr1 0.5000 0.5000 0.5000

No. 6
Here is crystalline CdAs3Ru at its relaxed geometry from Alexandria. Energies are from PBE-GGA.

Output
The energy above the most stable polymorph in this dataset comes out at 0.0000 eV/atom. The calculation puts the density of states at the Fermi level at 4.0 states/eV per cell. Its space group is Pm-3m (221). As for the energy of formation: 428 meV per atom.

a = 4.8364 Å, b = 4.8364 Å, c = 4.8364 Å
α = 90.00°, β = 90.00°, γ = 90.00°
Fractional positions:
As1 0.0000 0.5000 0.0000
As2 0.0000 0.0000 0.5000
As3 0.5000 0.0000 0.0000
Cd1 0.5000 0.5000 0.5000
Ru1 0.0000 0.0000 0.0000

No. 7
Here is crystalline Se5Cl at its relaxed geometry from Alexandria. Energies are from PBE-GGA.

Output
As for the raw formation energy: 338 kJ/mol of formula units. The energy above the most stable polymorph in this dataset comes out at 0.4462 eV/atom. The calculation puts the density of states at the Fermi level at 3.6 states/eV per cell. Its space group is F-43m (216).

a = 5.7559 Å, b = 5.7559 Å, c = 5.7559 Å
α = 60.00°, β = 60.00°, γ = 60.00°
Fractional positions:
Se1 0.2500 0.2500 0.2500
Se2 0.6123 0.6123 0.1630
Se3 0.1630 0.6123 0.6123
Se4 0.6123 0.1630 0.6123
Se5 0.6123 0.6123 0.6123
Cl1 0.0000 0.0000 0.0000

No. 8
Here is crystalline ZrNbTlFe2 at its relaxed geometry from Alexandria. Energies are from PBE-GGA.

Output
The calculation puts the density of states at the Fermi level at 6.5 states/eV per cell. Its space group is P4/mmm (123). As for the energy of formation: 1214 meV per atom.

a = 4.4233 Å, b = 5.3054 Å, c = 4.4233 Å
α = 90.00°, β = 90.00°, γ = 90.00°
Fractional positions:
Fe1 0.5000 0.0000 0.0000
Fe2 0.0000 0.0000 0.5000
Zr1 0.5000 0.5000 0.5000
Tl1 0.0000 0.5000 0.0000
Nb1 0.0000 0.0000 0.0000

No. 9
Here is crystalline NiRuC3 at its relaxed geometry from Alexandria. Energies are from PBE-GGA.

Output
The energy above the most stable polymorph in this dataset comes out at 0.1296 eV/atom. The calculation puts the density of states at the Fermi level at 4.1 states/eV per cell. Its space group is Pm-3m (221). As for the energy of formation: 2364 meV per atom.

a = 3.6863 Å, b = 3.6863 Å, c = 3.6863 Å
α = 90.00°, β = 90.00°, γ = 90.00°
Fractional positions:
C1 0.0000 0.5000 0.0000
C2 0.5000 0.0000 0.0000
C3 0.0000 0.0000 0.5000
Ru1 0.5000 0.5000 0.5000
Ni1 0.0000 0.0000 0.0000

No. 10
Here is crystalline LiCaHo2Cd4 at its relaxed geometry from Alexandria. Energies are from PBE-GGA.

Output
The calculation puts the density of states at the Fermi level at 5.6 states/eV per cell. Its space group is R-3m (166). As for the energy of formation: -277 meV per atom.

a = 5.2000 Å, b = 5.2000 Å, c = 9.0078 Å
α = 73.22°, β = 73.22°, γ = 60.00°
Fractional positions:
Cd1 0.3808 0.3808 0.8575
Cd2 0.1273 0.1273 0.6182
Cd3 0.8727 0.8727 0.3818
Cd4 0.6192 0.6192 0.1425
Ca1 0.0000 0.0000 0.0000
Ho1 0.7510 0.7510 0.7469
Ho2 0.2490 0.2490 0.2531
Li1 0.5000 0.5000 0.5000

No. 11
Here is crystalline LaSe2BrO at its relaxed geometry from Alexandria. Energies are from PBE-GGA.

Output
As for the raw formation energy: -399 kJ/mol of formula units. The energy above the most stable polymorph in this dataset comes out at 0.0000 eV/atom. The calculation puts the density of states at the Fermi level at 1.8 states/eV per cell. Its space group is P4/mmm (123).

a = 4.3663 Å, b = 4.3663 Å, c = 5.5748 Å
α = 90.00°, β = 90.00°, γ = 90.00°
Fractional positions:
O1 0.0000 0.0000 0.0000
Se1 0.5000 0.0000 0.0000
Se2 0.0000 0.5000 0.0000
Br1 0.0000 0.0000 0.5000
La1 0.5000 0.5000 0.5000

No. 12
Here is crystalline Ba2TcSb at its relaxed geometry from Alexandria. Energies are from PBE-GGA.

Output
As for the raw formation energy: 135 kJ/mol of formula units. The calculation puts the density of states at the Fermi level at 2.3 states/eV per cell. Its space group is F-43m (216).

a = 5.5119 Å, b = 5.5119 Å, c = 5.5119 Å
α = 60.00°, β = 60.00°, γ = 60.00°
Last column: magnetic moment on the atom in μB.
Fractional positions:
Sb1 0.5000 0.5000 0.5000  -0.01
Ba1 0.2500 0.2500 0.2500  -0.06
Ba2 0.0000 0.0000 0.0000  0.05
Tc1 0.7500 0.7500 0.7500  1.78

No. 13
Here is crystalline Rb2NpPaS4 at its relaxed geometry from Alexandria. Energies are from PBE-GGA.

Output
As for the raw formation energy: -1097 kJ/mol of formula units. The calculation puts the density of states at the Fermi level at 11.4 states/eV per cell. Its space group is P2/m (10).

a = 4.0750 Å, b = 7.0587 Å, c = 8.1101 Å
α = 106.79°, β = 90.00°, γ = 90.00°
Last column: magnetic moment on the atom in μB.
Fractional positions:
S1 0.5000 0.2276 0.1953  -0.05
S2 0.5000 0.7724 0.8047  -0.05
S3 0.0000 0.7364 0.1937  -0.06
S4 0.0000 0.2636 0.8063  -0.06
Np1 0.5000 0.5000 0.0000  4.06
Pa1 0.0000 0.0000 0.0000  1.29
Rb1 0.0000 0.5000 0.5000  0.01
Rb2 0.5000 0.0000 0.5000  0.01